Record 1
The following is a DFT calculation (PBE-GGA) of a relaxed Ga5Co4Pt crystal.

## Properties
The final energy is -5.28 eV per atom. Its calculated density is 10.26 Mg/m³. Its formation energy from the elements is -318.0 meV per atom.

Structure (CIF):
```
data_Ga5Co4Pt
_chemical_formula_sum 'Ga5 Co4 Pt1'
_space_group_name_H-M_alt 'P 4/m m m'
_space_group_IT_number 123
_space_group_name_Hall '-P 4 2'
_cell_length_a 2.8238
_cell_length_b 2.8238
_cell_length_c 15.8271
_cell_angle_alpha 90.00
_cell_angle_beta 90.00
_cell_angle_gamma 90.00
loop_
_atom_site_label
_atom_site_fract_x
_atom_site_fract_y
_atom_site_fract_z
_atom_site_occupancy
Ga1 0.0000 0.0000 0.0000 1
Ga2 0.0000 0.0000 0.1889 1
Ga3 0.0000 0.0000 0.3802 1
Co1 0.5000 0.5000 0.0939 1
Co2 0.5000 0.5000 0.2841 1
Pt1 0.5000 0.5000 0.5000 1
```


Record 2
The following is a DFT calculation (PBE-GGA) of a relaxed GaCo2Pt2 crystal.

## Properties
The final energy is -5.90 eV per atom. Its calculated density is 13.58 Mg/m³. Its formation energy from the elements is -37.1 meV per atom. The value obtained for the energy relative to the lowest polymorph listed for this composition is 0 meV per atom.

Structure (CIF):
```
data_GaCo2Pt2
_chemical_formula_sum 'Ga2 Co4 Pt4'
_space_group_name_H-M_alt 'P 4/m b m'
_space_group_IT_number 127
_space_group_name_Hall '-P 4 2ab'
_cell_length_a 6.0959
_cell_length_b 6.0959
_cell_length_c 3.8021
_cell_angle_alpha 90.00
_cell_angle_beta 90.00
_cell_angle_gamma 90.00
loop_
_atom_site_label
_atom_site_fract_x
_atom_site_fract_y
_atom_site_fract_z
_atom_site_occupancy
Ga1 0.0000 0.0000 0.0000 1
Co1 0.1325 0.3675 0.0000 1
Pt1 0.1602 0.6602 0.5000 1
```


Record 3
The following is a DFT calculation (PBE-GGA) of a relaxed Ga8Co2Pt crystal.

## Properties
The final energy is -4.21 eV per atom. Its calculated density is 7.88 Mg/m³. Its formation energy from the elements is -169.6 meV per atom.

Structure (CIF):
```
data_Ga8Co2Pt
_chemical_formula_sum 'Ga16 Co4 Pt2'
_space_group_name_H-M_alt 'C 1 2/m 1'
_space_group_IT_number 12
_cell_length_a 11.2318
_cell_length_b 7.1193
_cell_length_c 4.7132
_cell_angle_alpha 90.00
_cell_angle_beta 103.27
_cell_angle_gamma 90.00
loop_
_space_group_symop_operation_xyz
'x,y,z'
'-x,-y,-z'
'-x,y,-z'
'x,-y,z'
'x+1/2,y+1/2,z'
'-x+1/2,-y+1/2,-z'
'-x+1/2,y+1/2,-z'
'x+1/2,-y+1/2,z'
loop_
_atom_site_label
_atom_site_fract_x
_atom_site_fract_y
_atom_site_fract_z
_atom_site_occupancy
Ga1 0.0768 0.0000 0.3166 1
Ga2 0.1084 0.2448 0.8731 1
Ga3 0.1987 0.5000 0.3404 1
Co1 0.2435 0.5000 0.8701 1
Pt1 0.0000 0.5000 0.5000 1
```